Computed, not measured: a relaxed structure of Na4Mn3VSe8 at the GGA-PBE level of DFT.

Cell lengths 7.6088, 8.1736, 7.6131 Å; angles 117.81, 119.98, 90.00 degrees
Last column: nearest neighbours and their distance in Å.
Fractional positions:
Se  0.2324  0.7036  0.4648  1 V 2.58, 2 Mn 2.62
V  0.0000  0.5000  0.0000  6 Se 2.58
Mn  0.0000  0.5000  0.5000  6 Se 2.59-2.62
Na  0.0000  0.0000  0.5000  6 Se 2.99-3.02
Na  0.0000  0.0000  0.0000  6 Se 2.99-3.01
Se  0.2325  0.7037  0.9714  1 V 2.58, 2 Mn 2.62
Se  0.2666  0.2999  0.5331  3 Mn 2.59
Se  0.7675  0.2963  0.0286  1 V 2.58, 2 Mn 2.62
Mn  0.5000  0.5000  0.5000  6 Se 2.59-2.62
Na  0.5000  0.0000  0.0000  6 Se 3.02
Se  0.7676  0.2964  0.5352  1 V 2.58, 2 Mn 2.62
Mn  0.5000  0.5000  0.0000  6 Se 2.59-2.62
Se  0.7390  0.7037  0.9714  1 V 2.58, 2 Mn 2.62
Se  0.7334  0.7001  0.4669  3 Mn 2.59
Se  0.2610  0.2963  0.0286  1 V 2.58, 2 Mn 2.62
Na  0.5000  0.0000  0.5000  6 Se 2.99-3.02

Properties
- formation energy (no corrections) (eV per atom) = -0.7586
- total moment (μB/f.u.) = 14.00

=====

Computed, not measured: a relaxed structure of Na2MnV2Se6 at the GGA-PBE level of DFT.

Cell lengths 6.3350, 6.3350, 7.3260 Å; angles 97.64, 97.64, 118.57 degrees
Last column: nearest neighbours and their distance in Å.
Fractional positions:
V  0.6506  0.3494  0.5000  6 Se 2.49-2.62
Se  0.3872  0.0518  0.6928  1 Mn 2.51, 2 V 2.58-2.62
Se  0.0518  0.3872  0.6928  1 Mn 2.51, 2 V 2.58-2.62
Na  0.1771  0.8229  0.0000  6 Se 2.96-3.04
Se  0.9482  0.6128  0.3072  1 Mn 2.51, 2 V 2.58-2.62
V  0.3494  0.6506  0.5000  6 Se 2.49-2.62
Se  0.7334  0.7334  0.7134  2 V 2.49, 1 Mn 2.61
Na  0.8229  0.1771  0.0000  6 Se 2.96-3.04
Se  0.6128  0.9482  0.3072  1 Mn 2.51, 2 V 2.58-2.62
Se  0.2666  0.2666  0.2866  2 V 2.49, 1 Mn 2.61
Mn  0.0000  0.0000  0.5000  6 Se 2.51-2.61

Properties
- formation energy (no corrections) (eV per atom) = -0.7759
- total moment (μB/f.u.) = 7.02

=====

Computed, not measured: a relaxed structure of Na4MnV3Se8 at the GGA-PBE level of DFT.

Cell lengths 7.5826, 8.1348, 7.5815 Å; angles 117.78, 120.00, 90.00 degrees
Last column: nearest neighbours and their distance in Å.
Fractional positions:
Se  0.7648  0.2967  0.5295  2 V 2.59, 1 Mn 2.60
Se  0.7333  0.7031  0.9684  2 V 2.59, 1 Mn 2.60
Se  0.7649  0.2969  0.0316  2 V 2.59, 1 Mn 2.60
V  0.5000  0.5000  0.0000  6 Se 2.59-2.60
Mn  0.0000  0.5000  0.0000  6 Se 2.60
Na  0.0000  0.0000  0.0000  6 Se 2.98-2.99
Na  0.5000  0.0000  0.5000  6 Se 2.98-2.99
V  0.5000  0.5000  0.5000  6 Se 2.59-2.60
Se  0.2649  0.2951  0.5297  3 V 2.60
V  0.0000  0.5000  0.5000  6 Se 2.59-2.60
Se  0.2667  0.2969  0.0316  2 V 2.59, 1 Mn 2.60
Na  0.5000  0.0000  0.0000  6 Se 2.98
Na  0.0000  0.0000  0.5000  6 Se 2.98-2.99
Se  0.7351  0.7049  0.4703  3 V 2.60
Se  0.2352  0.7033  0.4705  2 V 2.59, 1 Mn 2.60
Se  0.2351  0.7031  0.9684  2 V 2.59, 1 Mn 2.60

Properties
- formation energy (no corrections) (eV per atom) = -0.8314
- total moment (μB/f.u.) = 10.00

=====

Computed, not measured: a relaxed structure of Na2Mn2VSe6 at the GGA-PBE level of DFT.

Cell lengths 6.4188, 6.4188, 7.3527 Å; angles 98.69, 98.69, 119.54 degrees
Last column: nearest neighbours and their distance in Å.
Fractional positions:
Se  0.9341  0.5990  0.3019  2 Mn 2.53-2.57, 1 V 2.56
Se  0.4010  0.0659  0.6981  2 Mn 2.53-2.57, 1 V 2.56
Mn  0.3323  0.6677  0.5000  6 Se 2.53-2.57
Mn  0.6677  0.3323  0.5000  6 Se 2.53-2.57
Se  0.2690  0.2690  0.3025  2 Mn 2.55, 1 V 2.58
Na  0.8327  0.1673  0.0000  6 Se 2.99-3.04
Se  0.0659  0.4010  0.6981  2 Mn 2.53-2.57, 1 V 2.56
V  0.0000  0.0000  0.5000  6 Se 2.56-2.58
Se  0.5990  0.9341  0.3019  2 Mn 2.53-2.57, 1 V 2.56
Na  0.1673  0.8327  0.0000  6 Se 2.99-3.04
Se  0.7310  0.7310  0.6975  2 Mn 2.55, 1 V 2.58

Properties
- formation energy (no corrections) (eV per atom) = -0.7138
- total moment (μB/f.u.) = 9.02

=====

Computed, not measured: a relaxed structure of NaMnVSe3 at the GGA-PBE level of DFT.

Cell lengths 3.4843, 7.8757, 9.3236 Å; angles 112.87, 90.00, 90.00 degrees
Last column: nearest neighbours and their distance in Å.
Fractional positions:
Se  0.7500  0.8948  0.1292  1 V 2.38, 2 Mn 2.48
Mn  0.7500  0.3070  0.8318  6 Se 2.47-2.54, 2 V 2.76
Se  0.2500  0.5442  0.8762  3 Mn 2.47-2.51
Se  0.7500  0.2655  0.5478  3 V 2.46-2.56, 1 Mn 2.54
Se  0.2500  0.7345  0.4522  3 V 2.46-2.56, 1 Mn 2.54
V  0.2500  0.0834  0.6084  4 Se 2.38-2.56, 2 V 2.60
V  0.7500  0.9166  0.3916  4 Se 2.38-2.56, 2 V 2.60
Na  0.7500  0.7575  0.7388  7 Se 3.03-3.37
Mn  0.2500  0.6930  0.1682  6 Se 2.47-2.54, 2 V 2.76
Se  0.2500  0.1052  0.8708  1 V 2.38, 2 Mn 2.48
Na  0.2500  0.2425  0.2612  7 Se 3.03-3.37
Se  0.7500  0.4558  0.1238  3 Mn 2.47-2.51

Properties
- formation energy (no corrections) (eV per atom) = -0.6452
- total moment (μB/f.u.) = 1.07

=====

Computed, not measured: a relaxed structure of Na3Y2MnSe6 at the GGA-PBE level of DFT.

Cell lengths 7.0206, 7.0206, 7.3656 Å; angles 98.95, 98.95, 120.43 degrees
Last column: nearest neighbours and their distance in Å.
Fractional positions:
Na  0.8311  0.1689  0.5000  6 Se 2.97-3.11
Na  0.1689  0.8311  0.5000  6 Se 2.97-3.11
Se  0.2325  0.2325  0.7854  1 Mn 2.59, 2 Y 2.88
Y  0.6679  0.3321  0.0000  6 Se 2.86-2.88
Se  0.6084  0.9233  0.7741  1 Mn 2.72, 2 Y 2.86-2.87, 2 Na 2.97
Se  0.9233  0.6084  0.7741  1 Mn 2.72, 2 Y 2.86-2.87, 2 Na 2.97
Se  0.0767  0.3916  0.2259  1 Mn 2.72, 2 Y 2.86-2.87, 2 Na 2.97
Se  0.3916  0.0767  0.2259  1 Mn 2.72, 2 Y 2.86-2.87, 2 Na 2.97
Y  0.3321  0.6679  0.0000  6 Se 2.86-2.88
Mn  0.0000  0.0000  0.0000  6 Se 2.59-2.72
Se  0.7675  0.7675  0.2146  1 Mn 2.59, 2 Y 2.88
Na  0.5000  0.5000  0.5000  6 Se 2.97-3.22

Properties
- formation energy (no corrections) (eV per atom) = -1.3404
- total moment (μB/f.u.) = 4.00

=====

Computed, not measured: a relaxed structure of Na3ZrMn2Se6 at the GGA-PBE level of DFT.

Cell lengths 6.7142, 6.7142, 7.3366 Å; angles 98.96, 98.96, 119.59 degrees
Last column: nearest neighbours and their distance in Å.
Fractional positions:
Se  0.5921  0.9311  0.7858  2 Mn 2.66-2.70, 1 Zr 2.71
Se  0.2694  0.2694  0.7891  2 Mn 2.67, 1 Zr 2.73
Mn  0.6675  0.3325  0.0000  6 Se 2.66-2.70
Zr  0.0000  0.0000  0.0000  6 Se 2.71-2.73
Na  0.8350  0.1650  0.5000  6 Se 2.99-3.01
Se  0.0689  0.4079  0.2142  2 Mn 2.66-2.70, 1 Zr 2.71
Se  0.9311  0.5921  0.7858  2 Mn 2.66-2.70, 1 Zr 2.71
Mn  0.3325  0.6675  0.0000  6 Se 2.66-2.70
Se  0.4079  0.0689  0.2142  2 Mn 2.66-2.70, 1 Zr 2.71
Na  0.1650  0.8350  0.5000  6 Se 2.99-3.01
Se  0.7306  0.7306  0.2109  2 Mn 2.67, 1 Zr 2.73
Na  0.5000  0.5000  0.5000  6 Se 3.00-3.02

Properties
- formation energy (no corrections) (eV per atom) = -0.9422
- total moment (μB/f.u.) = 9.00

=====

Computed, not measured: a relaxed structure of NaZrMnSe3 at the GGA-PBE level of DFT.

Cell lengths 3.7272, 8.4039, 9.2652 Å; angles 111.14, 90.00, 90.00 degrees
Last column: nearest neighbours and their distance in Å.
Fractional positions:
Na  0.2500  0.2122  0.2279  6 Se 2.95-3.19
Se  0.2500  0.7673  0.4867  3 Mn 2.37-2.47
Se  0.2500  0.0876  0.8386  1 Mn 2.46, 2 Zr 2.68
Se  0.7500  0.2327  0.5133  3 Mn 2.37-2.47
Zr  0.2500  0.6901  0.1788  6 Se 2.68-2.81
Se  0.7500  0.9124  0.1614  1 Mn 2.46, 2 Zr 2.68
Na  0.7500  0.7878  0.7721  6 Se 2.95-3.19
Se  0.2500  0.5607  0.8537  3 Zr 2.75-2.81, 2 Na 2.95
Zr  0.7500  0.3099  0.8212  6 Se 2.68-2.81
Mn  0.2500  0.0693  0.5682  2 Mn 2.32, 4 Se 2.37-2.47
Se  0.7500  0.4393  0.1463  3 Zr 2.75-2.81, 2 Na 2.95
Mn  0.7500  0.9307  0.4318  2 Mn 2.32, 4 Se 2.37-2.47

Properties
- formation energy (no corrections) (eV per atom) = -0.9540
- total moment (μB/f.u.) = 0.00

=====

Computed, not measured: a relaxed structure of Na4ZrMn3Se8 at the GGA-PBE level of DFT.

Cell lengths 7.7286, 8.2773, 7.7288 Å; angles 117.85, 120.00, 90.00 degrees
Last column: nearest neighbours and their distance in Å.
Fractional positions:
Mn  0.5000  0.5000  0.0000  6 Se 2.63-2.67
Mn  0.0000  0.5000  0.5000  6 Se 2.63-2.67
Mn  0.5000  0.5000  0.5000  6 Se 2.63-2.67
Se  0.2669  0.3007  0.5337  3 Mn 2.63
Se  0.7598  0.2861  0.5195  2 Mn 2.67, 1 Zr 2.71, 1 Na 2.97
Na  0.0000  0.0000  0.0000  6 Se 3.00-3.06
Na  0.0000  0.0000  0.5000  6 Se 3.00-3.06
Se  0.2664  0.2860  0.0261  2 Mn 2.67, 1 Zr 2.71, 1 Na 2.97
Na  0.5000  0.0000  0.5000  6 Se 3.00-3.06
Se  0.7336  0.7140  0.9739  2 Mn 2.67, 1 Zr 2.71, 1 Na 2.97
Se  0.7331  0.6993  0.4663  3 Mn 2.63
Se  0.7597  0.2860  0.0261  2 Mn 2.67, 1 Zr 2.71, 1 Na 2.97
Na  0.5000  0.0000  0.0000  6 Se 2.97
Se  0.2403  0.7140  0.9739  2 Mn 2.67, 1 Zr 2.71, 1 Na 2.97
Se  0.2402  0.7139  0.4805  2 Mn 2.67, 1 Zr 2.71, 1 Na 2.97
Zr  0.0000  0.5000  0.0000  6 Se 2.71

Properties
- formation energy (no corrections) (eV per atom) = -0.8848
- total moment (μB/f.u.) = 13.00

=====

Computed, not measured: a relaxed structure of Na2Zr2MnSe6 at the GGA-PBE level of DFT.

Cell lengths 6.7352, 6.7352, 7.4706 Å; angles 98.58, 98.58, 120.44 degrees
Last column: nearest neighbours and their distance in Å.
Fractional positions:
Se  0.9274  0.5923  0.2830  2 Zr 2.71-2.72, 1 Mn 2.74, 2 Na 3.01-3.02
Mn  0.0000  0.0000  0.5000  6 Se 2.70-2.74
Se  0.5923  0.9274  0.2830  2 Zr 2.71-2.72, 1 Mn 2.74, 2 Na 3.01-3.02
Na  0.1661  0.8339  0.0000  6 Se 3.01-3.02
Zr  0.6669  0.3331  0.5000  6 Se 2.71-2.72
Se  0.2605  0.2605  0.2854  1 Mn 2.70, 2 Zr 2.72, 2 Na 3.02
Na  0.8339  0.1661  0.0000  6 Se 3.01-3.02
Zr  0.3331  0.6669  0.5000  6 Se 2.71-2.72
Se  0.7395  0.7395  0.7146  1 Mn 2.70, 2 Zr 2.72, 2 Na 3.02
Se  0.4077  0.0726  0.7170  2 Zr 2.71-2.72, 1 Mn 2.74, 2 Na 3.01-3.02
Se  0.0726  0.4077  0.7170  2 Zr 2.71-2.72, 1 Mn 2.74, 2 Na 3.01-3.02

Properties
- formation energy (no corrections) (eV per atom) = -1.1471
- total moment (μB/f.u.) = 5.00

=====

Computed, not measured: a relaxed structure of Na3Zr2MnSe6 at the GGA-PBE level of DFT.

Cell lengths 6.7570, 6.7570, 7.3928 Å; angles 98.77, 98.77, 120.00 degrees
Last column: nearest neighbours and their distance in Å.
Fractional positions:
Zr  0.6663  0.3337  0.0000  6 Se 2.74
Se  0.9265  0.5941  0.7794  1 Mn 2.73, 2 Zr 2.74, 3 Na 2.99
Se  0.7415  0.7415  0.2215  1 Mn 2.73, 2 Zr 2.74, 3 Na 2.99
Na  0.5000  0.5000  0.5000  6 Se 2.99
Se  0.2585  0.2585  0.7785  1 Mn 2.73, 2 Zr 2.74, 3 Na 2.99
Na  0.1674  0.8326  0.5000  6 Se 2.99
Se  0.4059  0.0735  0.2206  1 Mn 2.73, 2 Zr 2.74, 3 Na 2.99
Mn  0.0000  0.0000  0.0000  6 Se 2.73
Zr  0.3337  0.6663  0.0000  6 Se 2.74
Na  0.8326  0.1674  0.5000  6 Se 2.99
Se  0.5941  0.9265  0.7794  1 Mn 2.73, 2 Zr 2.74, 3 Na 2.99
Se  0.0735  0.4059  0.2206  1 Mn 2.73, 2 Zr 2.74, 3 Na 2.99

Properties
- formation energy (no corrections) (eV per atom) = -1.1484
- total moment (μB/f.u.) = 4.09

=====

Computed, not measured: a relaxed structure of Na2MnSi at the GGA-PBE level of DFT.

Cell lengths 10.4158, 10.4158, 7.7306 Å; angles 47.65, 47.65, 90.00 degrees
Last column: nearest neighbours and their distance in Å.
Fractional positions:
Si  0.5000  0.5000  0.0000  2 Mn 2.35
Mn  0.0000  0.0000  0.0000  2 Si 2.35
Si  0.2500  0.7500  0.5000  2 Mn 2.35
Na  0.3750  0.5221  0.7500  2 Si 2.88
Mn  0.7500  0.2500  0.5000  2 Si 2.35
Na  0.4779  0.1250  0.2500  2 Si 2.88
Na  0.8750  0.7279  0.7500  2 Si 2.88
Na  0.2721  0.6250  0.2500  2 Si 2.88

Properties
- formation energy (no corrections) (eV per atom) = 0.4843
- total moment (μB/f.u.) = 4.19